First-principles (PBE) data for an optimized crystal structure of Cs2CrHgS4, as listed in Alexandria.

Properties
**Uncorrected energy**: -4.237 eV/atom
**SG**: Fddd
**Formation energy from raw total energies**: -0.72 eV per atom

abc: 7.218 7.414 12.556
angles: 81.96 73.29 60.87
Fractional coordinates of all 16 atoms:
Cs 0.178 0.000 0.643
Cs 0.822 0.000 0.357
Cs 0.572 0.500 0.857
Cs 0.928 0.500 0.143
Cr 0.250 0.500 0.500
Cr 0.500 0.000 0.000
Hg 0.750 0.500 0.500
Hg 0.000 0.000 0.000
S 0.361 0.820 0.098
S 0.280 0.180 0.902
S 0.819 0.820 0.902
S 0.541 0.180 0.098
S 0.389 0.680 0.402
S 0.470 0.320 0.598
S 0.931 0.680 0.598
S 0.209 0.320 0.402